Record 1
BeGaCuIr | OQMD via LeMat-Bulk | PBE-GGA | optimized geometry; magnetic moment = 0.00 μB per cell; energy above the lowest structure with this stoichiometry = 0.76 eV/f.u.
1.0
0.000 2.918 2.918
2.918 0.000 2.918
2.918 2.918 0.000
Be Ga Cu Ir
1 1 1 1
direct
0.000 0.000 0.000
0.250 0.250 0.250
0.500 0.500 0.500
0.750 0.750 0.750

=====

Record 2
ScFeSnAu | OQMD via LeMat-Bulk | PBE-GGA | optimized geometry; magnetic moment = 2.48 μB per cell; energy above the lowest structure with this stoichiometry = 0.16 eV/f.u.
1.0
0.000 3.275 3.275
3.275 0.000 3.275
3.275 3.275 0.000
Sc Fe Sn Au
1 1 1 1
direct
0.000 0.000 0.000
0.500 0.500 0.500
0.250 0.250 0.250
0.750 0.750 0.750